Entry A
MnMo2Br: optimized geometry, PBE.

Lattice parameters (Å, degrees): 3.0262 3.0262 24.8098 90.00 90.00 120.00
Space group R3m (No. 160, hexagonal axes)
Asymmetric unit:
1 Mn 0.0000 0.0000 0.0000 x3
2 Mo 0.0000 0.0000 0.2680 x3
3 Mo 0.0000 0.0000 0.5100 x3
4 Br 0.0000 0.0000 0.7613 x3

## Properties
For the total magnetization, the calculation gives 0.00 μB per formula unit.

***

Entry B
MnMo2Br: optimized geometry, PBE.

Lattice parameters (Å, degrees): 5.1761 8.4231 2.9596 90.00 90.00 90.00
Space group Cmmm (No. 65)
Asymmetric unit:
1 Mn 0.0000 0.0000 0.0000 x2
2 Mo 0.2500 0.2500 0.5000 x4
3 Br 0.0000 0.5000 0.0000 x2

## Properties
For the total magnetization, the calculation gives 2.71 μB per formula unit.

***

Entry C
MnMo2Br: optimized geometry, PBE.

Lattice parameters (Å, degrees): 9.2779 3.1045 4.6855 90.00 97.86 90.00
Space group C2/m (No. 12)
Asymmetric unit:
1 Mn 0.0000 0.0000 0.0000 x2
2 Mo 0.2357 0.5000 0.2065 x4
3 Br 0.0000 0.5000 0.5000 x2

## Properties
For the total magnetization, the calculation gives 2.41 μB per formula unit.

***

Computed energies relative to the best structure, in eV/atom: entry A 0.000; entry B 0.304; entry C 0.094

***

Entry A
MnMo2Br: optimized geometry, PBE.

Lattice parameters (Å, degrees): 9.2266 2.9751 4.6883 90.00 106.67 90.00
Space group Cm (No. 8)
Asymmetric unit:
1 Mn 0.0000 0.0000 0.0000 x2
2 Mo 0.0040 0.5000 0.5208 x2
3 Mo 0.2766 0.0000 0.8873 x2
4 Br 0.2466 0.5000 0.3407 x2

## Properties
For the total magnetization, the calculation gives 1.22 μB per formula unit.

***

Entry B
MnMo2Br: optimized geometry, PBE.

Lattice parameters (Å, degrees): 3.2325 3.1449 7.3539 90.00 90.17 90.00
Space group Pm (No. 6)
Asymmetric unit:
1 Mn 0.0000 0.0000 0.0000 x1
2 Mo 0.4985 0.5000 0.7904 x1
3 Mo 0.9966 0.0000 0.6041 x1
4 Br 0.9878 0.5000 0.2987 x1

## Properties
For the total magnetization, the calculation gives 3.47 μB per formula unit.

***

Computed energies relative to the best structure, in eV/atom: entry A 0.373; entry B 0.000

***

Entry A
MnMoBr2: optimized geometry, PBE.

Lattice parameters (Å, degrees): 3.3268 3.3268 7.8902 90.00 90.00 90.00
Space group P4mm (No. 99)
Asymmetric unit:
1 Mn 0.0000 0.0000 0.0000 x1
2 Mo 0.5000 0.5000 0.1617 x1
3 Br 0.0000 0.0000 0.3916 x1
4 Br 0.5000 0.5000 0.8257 x1

## Properties
For the total magnetization, the calculation gives 2.27 μB per formula unit.

***

Entry B
MnMoBr2: optimized geometry, PBE.

Lattice parameters (Å, degrees): 3.1702 3.1702 24.8187 90.00 90.00 120.00
Space group R-3m (No. 166, hexagonal axes)
Asymmetric unit:
1 Mn 0.0000 0.0000 0.0000 x3
2 Mo 0.0000 0.0000 0.5000 x3
3 Br 0.0000 0.0000 0.3998 x6

## Properties
For the total magnetization, the calculation gives 0.00 μB per formula unit.

***

Entry C
MnMoBr2: optimized geometry, PBE.

Lattice parameters (Å, degrees): 3.2369 4.2854 15.1872 90.00 90.00 90.00
Space group Immm (No. 71)
Asymmetric unit:
1 Mn 0.0000 0.0000 0.0000 x2
2 Mo 0.0000 0.0000 0.5000 x2
3 Br 0.0000 0.5000 0.1375 x4

## Properties
For the total magnetization, the calculation gives 2.89 μB per formula unit.

***

Entry D
MnMoBr2: optimized geometry, PBE.

Lattice parameters (Å, degrees): 6.3293 6.3293 6.3293 90.00 90.00 90.00
Space group Fm-3m (No. 225)
Asymmetric unit:
1 Mn 0.0000 0.0000 0.0000 x4
2 Mo 0.0000 0.0000 0.5000 x4
3 Br 0.2500 0.2500 0.2500 x8

## Properties
For the total magnetization, the calculation gives 0.00 μB per formula unit.

***

Computed energies relative to the best structure, in eV/atom: entry A 0.026; entry B 0.705; entry C 0.000; entry D 0.949